[1]
The following is a PBE calculation of a relaxed Mn3Pd12Au crystal, from the Alexandria database.

abc: 3.942 3.942 15.791
angles: 90.00 90.00 90.00
Site moments in Bohr magnetons follow the coordinates.
Fractional positions:
Pd (0.500, 0.500, 0.500)  0.19
Mn (0.000, 0.000, 0.747)  3.90
Pd (0.500, 0.500, 0.254)  0.20
Pd (0.500, 0.500, 0.746)  0.20
Mn (0.000, 0.000, 0.500)  3.91
Pd (0.500, 0.000, 0.131)  0.17
Pd (0.000, 0.500, 0.623)  0.20
Pd (0.000, 0.500, 0.377)  0.20
Mn (0.000, 0.000, 0.253)  3.90
Au (0.000, 0.000, 0.000)  0.04
Pd (0.500, 0.500, 0.000)  0.14
Pd (0.500, 0.000, 0.623)  0.20
Pd (0.000, 0.500, 0.869)  0.17
Pd (0.000, 0.500, 0.131)  0.17
Pd (0.500, 0.000, 0.377)  0.20
Pd (0.500, 0.000, 0.869)  0.17

V: 15.3 Å³ per atom
VASP energy: -6.00 eV/atom
ΔE_f: -0.18 eV/atom
space-group type: No. 123

---

[2]
The following is a PBE calculation of a relaxed MnPd8Au2 crystal, from the Alexandria database.

abc: 5.180 7.640 7.360
angles: 58.73 69.63 47.89
Site moments in Bohr magnetons follow the coordinates.
Fractional positions:
Pd (0.667, 0.603, 0.000)  0.03
Au (0.000, 0.694, 0.612)  0.01
Pd (0.500, 0.217, 0.566)  0.04
Au (0.000, 0.306, 0.388)  0.01
Pd (0.098, 0.900, 0.781)  0.03
Pd (0.098, 0.681, 0.219)  0.03
Mn (0.500, 0.000, 0.000)  3.88
Pd (0.902, 0.319, 0.781)  0.03
Pd (0.902, 0.100, 0.219)  0.03
Pd (0.333, 0.397, 0.000)  0.03
Pd (0.500, 0.783, 0.434)  0.04

V: 16.8 Å³ per atom
VASP energy: -5.11 eV/atom
ΔE_f: 0.10 eV/atom
space-group type: No. 12

---

[3]
The following is a PBE calculation of a relaxed Mn6Pd5Au crystal, from the Alexandria database.

abc: 4.435 6.305 7.796
angles: 113.85 109.35 90.00
Site moments in Bohr magnetons follow the coordinates.
Fractional positions:
Mn (0.833, 0.084, 0.663)  3.95
Mn (0.833, 0.579, 0.663)  3.95
Mn (0.167, 0.916, 0.337)  3.95
Pd (0.665, 0.167, 0.333)  0.32
Mn (0.500, 0.745, 0.000)  3.94
Pd (0.335, 0.833, 0.667)  0.32
Mn (0.167, 0.421, 0.337)  3.95
Pd (0.000, 0.500, 0.000)  0.34
Mn (0.500, 0.255, 0.000)  3.94
Pd (0.335, 0.333, 0.667)  0.34
Au (0.000, 0.000, 0.000)  0.11
Pd (0.665, 0.667, 0.333)  0.34

V: 15.5 Å³ per atom
VASP energy: -7.17 eV/atom
ΔE_f: -0.15 eV/atom
space-group type: No. 12

---

What did the first record say?
The following is a PBE calculation of a relaxed Mn3Pd12Au crystal, from the Alexandria database.

abc: 3.942 3.942 15.791
angles: 90.00 90.00 90.00
Site moments in Bohr magnetons follow the coordinates.
Fractional positions:
Pd (0.500, 0.500, 0.500)  0.19
Mn (0.000, 0.000, 0.747)  3.90
Pd (0.500, 0.500, 0.254)  0.20
Pd (0.500, 0.500, 0.746)  0.20
Mn (0.000, 0.000, 0.500)  3.91
Pd (0.500, 0.000, 0.131)  0.17
Pd (0.000, 0.500, 0.623)  0.20
Pd (0.000, 0.500, 0.377)  0.20
Mn (0.000, 0.000, 0.253)  3.90
Au (0.000, 0.000, 0.000)  0.04
Pd (0.500, 0.500, 0.000)  0.14
Pd (0.500, 0.000, 0.623)  0.20
Pd (0.000, 0.500, 0.869)  0.17
Pd (0.000, 0.500, 0.131)  0.17
Pd (0.500, 0.000, 0.377)  0.20
Pd (0.500, 0.000, 0.869)  0.17

V: 15.3 Å³ per atom
VASP energy: -6.00 eV/atom
ΔE_f: -0.18 eV/atom
space-group type: No. 123

---

What did the first record say?
The following is a PBE calculation of a relaxed Mn3Pd12Au crystal, from the Alexandria database.

abc: 3.942 3.942 15.791
angles: 90.00 90.00 90.00
Site moments in Bohr magnetons follow the coordinates.
Fractional positions:
Pd (0.500, 0.500, 0.500)  0.19
Mn (0.000, 0.000, 0.747)  3.90
Pd (0.500, 0.500, 0.254)  0.20
Pd (0.500, 0.500, 0.746)  0.20
Mn (0.000, 0.000, 0.500)  3.91
Pd (0.500, 0.000, 0.131)  0.17
Pd (0.000, 0.500, 0.623)  0.20
Pd (0.000, 0.500, 0.377)  0.20
Mn (0.000, 0.000, 0.253)  3.90
Au (0.000, 0.000, 0.000)  0.04
Pd (0.500, 0.500, 0.000)  0.14
Pd (0.500, 0.000, 0.623)  0.20
Pd (0.000, 0.500, 0.869)  0.17
Pd (0.000, 0.500, 0.131)  0.17
Pd (0.500, 0.000, 0.377)  0.20
Pd (0.500, 0.000, 0.869)  0.17

V: 15.3 Å³ per atom
VASP energy: -6.00 eV/atom
ΔE_f: -0.18 eV/atom
space-group type: No. 123